[1]
{"formula": "YAl2Pt2", "functional": "meta-GGA SCAN", "state": "PBEsol geometry", "lattice_angstrom": [[-1.9927, 1.9927, 5.7109], [1.9927, -1.9927, 5.7109], [1.9927, 1.9927, -5.7109]], "species": ["Y", "Al", "Al", "Pt", "Pt"], "frac_coords": [[0.0000, 0.0000, 0.0000], [0.2500, 0.7500, 0.5000], [0.7500, 0.2500, 0.5000], [0.3831, 0.3831, 0.0000], [0.6169, 0.6169, 0.0000]], "e_form_ev_per_fu": -7.0, "final_energy_ev_per_cell": -190.76, "dos_ef_per_ev_atom": 0.463}

[2]
{"formula": "Al2Zn2Pt", "functional": "meta-GGA SCAN", "state": "PBEsol geometry", "lattice_angstrom": [[-1.6676, 1.6676, 7.0490], [1.6676, -1.6676, 7.0490], [1.6676, 1.6676, -7.0490]], "species": ["Al", "Al", "Zn", "Zn", "Pt"], "frac_coords": [[0.0946, 0.0946, 0.0000], [0.9054, 0.9054, 0.0000], [0.2500, 0.7500, 0.5000], [0.7500, 0.2500, 0.5000], [0.5000, 0.5000, 0.0000]], "e_form_ev_per_fu": -1.1, "final_energy_ev_per_cell": -113.82, "dos_ef_per_ev_atom": 0.344}